# 1
First-principles (PBE-GGA) data for a geometry-optimized Al3GaAg structure, as listed in Alexandria.

Unit cell a=4.8839 b=4.8839 c=4.8839 alpha=90.00 beta=90.00 gamma=90.00
Space group Pm-3m (No. 221)
Asymmetric unit:
Al  0.0000  0.0000  0.5000 (multiplicity 3)
Ga  0.5000  0.5000  0.5000 (multiplicity 1)
Ag  0.0000  0.0000  0.0000 (multiplicity 1)

Calculated values
* energy relative to the lowest polymorph listed for this composition: 437 meV per atom
* calculated formation energy: 0.51 eV/atom


# 2
First-principles (PBE-GGA) data for a geometry-optimized AlGa2Ag structure, as listed in Alexandria.

Unit cell a=3.0606 b=3.0606 c=26.0484 alpha=90.00 beta=90.00 gamma=120.00
Space group R3m (No. 160, hexagonal axes)
Asymmetric unit:
Al  0.0000  0.0000  0.0000 (multiplicity 3)
Ga  0.0000  0.0000  0.4147 (multiplicity 3)
Ga  0.0000  0.0000  0.5857 (multiplicity 3)
Ag  0.0000  0.0000  0.8331 (multiplicity 3)

Calculated values
* calculated formation energy: 0.00 eV/atom


# 3
First-principles (PBE-GGA) data for a geometry-optimized AlGa2Ag structure, as listed in Alexandria.

Unit cell a=4.1979 b=4.1979 c=4.0778 alpha=90.00 beta=90.00 gamma=90.00
Space group P4/mmm (No. 123)
Asymmetric unit:
Al  0.0000  0.0000  0.0000 (multiplicity 1)
Ga  0.0000  0.5000  0.5000 (multiplicity 2)
Ag  0.5000  0.5000  0.0000 (multiplicity 1)

Calculated values
* calculated formation energy: 0.06 eV/atom


# 4
First-principles (PBE-GGA) data for a geometry-optimized Al8Ga2Ag structure, as listed in Alexandria.

Unit cell a=11.3093 b=8.0014 c=4.7615 alpha=90.00 beta=98.50 gamma=90.00
Space group C2/m (No. 12)
Asymmetric unit:
Al  0.0703  0.2054  0.2830 (multiplicity 8)
Al  0.1241  0.0000  0.8310 (multiplicity 4)
Al  0.2429  0.5000  0.6013 (multiplicity 4)
Ga  0.1315  0.5000  0.0487 (multiplicity 4)
Ag  0.0000  0.5000  0.5000 (multiplicity 2)

Calculated values
* calculated formation energy: 0.15 eV/atom


# 5
First-principles (PBE-GGA) data for a geometry-optimized Al2GaAg5 structure, as listed in Alexandria.

Unit cell a=5.7944 b=11.1662 c=4.2318 alpha=90.00 beta=90.00 gamma=90.00
Space group Pbam (No. 55)
Asymmetric unit:
Al  0.2145  0.1328  0.0000 (multiplicity 4)
Ga  0.0000  0.5000  0.5000 (multiplicity 2)
Ag  0.0000  0.0000  0.5000 (multiplicity 2)
Ag  0.0313  0.7441  0.5000 (multiplicity 4)
Ag  0.2226  0.3822  0.0000 (multiplicity 4)

Calculated values
* energy relative to the lowest polymorph listed for this composition: 0 meV per atom
* calculated formation energy: -0.01 eV/atom


# 6
First-principles (PBE-GGA) data for a geometry-optimized AlGaAg4 structure, as listed in Alexandria.

Unit cell a=5.8594 b=6.3461 c=6.4755 alpha=72.49 beta=65.27 gamma=76.93
Space group P-1 (No. 2)
Asymmetric unit:
Al  0.0399  0.1672  0.0876 (multiplicity 2)
Ga  0.2855  0.1791  0.5809 (multiplicity 2)
Ag  0.1287  0.4915  0.2488 (multiplicity 2)
Ag  0.2099  0.8431  0.4200 (multiplicity 2)
Ag  0.3680  0.4872  0.7582 (multiplicity 2)
Ag  0.4322  0.8463  0.9145 (multiplicity 2)

Calculated values
* energy relative to the lowest polymorph listed for this composition: 0 meV per atom
* calculated formation energy: -0.02 eV/atom